Entry 1:
The following is a DFT calculation (GGA-PBE) of a relaxed La2PmOsN4 crystal.

Summary:
Total energy, eV/cell: -130.809
M_tot, μB per formula unit: 0.000
Crystal system: orthorhombic
Theoretical density, g cm⁻³: 8.37
Space-group type: No. 63

Cell: 3.5065 6.3280 12.4507 Å, 90.00 90.00 106.09°
Last column: nearest neighbours and their distance in Å.
Fractional positions:
N 0.0000 0.0000 0.0000  4 La 2.44
N 0.2754 0.5509 0.1408  1 Os 2.05
N 0.7246 0.4491 0.8592  1 Os 2.05
N 0.4272 0.8543 0.7500  2 Os 1.98
N 0.5728 0.1457 0.2500  2 Os 1.98
N 0.7246 0.4491 0.6408  1 Os 2.05
N 0.0000 0.0000 0.5000  4 La 2.44
N 0.2754 0.5509 0.3592  1 Os 2.05
Pm 0.8767 0.7533 0.2500  4 N 2.54
Pm 0.1233 0.2467 0.7500  4 N 2.54
La 0.3674 0.7348 0.9587  4 N 2.44-2.70
La 0.6326 0.2652 0.0413  4 N 2.44-2.70
La 0.6326 0.2652 0.4587  4 N 2.44-2.70
La 0.3674 0.7348 0.5413  4 N 2.44-2.70
Os 0.1489 0.2978 0.2500  4 N 1.98-2.05
Os 0.8511 0.7022 0.7500  4 N 1.98-2.05



Entry 2:
The following is a DFT calculation (GGA-PBE) of a relaxed La2PrOsN4 crystal.

Summary:
Total energy, eV/cell: -130.801
M_tot, μB per formula unit: 0.000
Crystal system: orthorhombic
Theoretical density, g cm⁻³: 8.22
Space-group type: No. 63

Cell: 3.5320 6.3642 12.4424 Å, 90.00 90.00 106.11°
Last column: nearest neighbours and their distance in Å.
Fractional positions:
N 0.7257 0.4514 0.6394  1 Os 2.04
N 0.0000 0.0000 0.0000  4 La 2.45
N 0.0000 0.0000 0.5000  4 La 2.45
N 0.2743 0.5486 0.1394  1 Os 2.04
N 0.7257 0.4514 0.8606  1 Os 2.04
N 0.5759 0.1518 0.2500  2 Os 1.99
N 0.4241 0.8482 0.7500  2 Os 1.99
N 0.2743 0.5486 0.3606  1 Os 2.04
La 0.6324 0.2647 0.4588  4 N 2.45-2.69
La 0.6324 0.2647 0.0412  4 N 2.45-2.69
La 0.3676 0.7353 0.9588  4 N 2.45-2.69
La 0.3676 0.7353 0.5412  4 N 2.45-2.69
Os 0.1507 0.3014 0.2500  4 N 1.99-2.04
Os 0.8493 0.6986 0.7500  4 N 1.99-2.04
Pr 0.1204 0.2408 0.7500  4 N 2.58
Pr 0.8796 0.7592 0.2500  4 N 2.58



Entry 3:
The following is a DFT calculation (GGA-PBE) of a relaxed LaPr2OsN4 crystal.

Summary:
Total energy, eV/cell: -130.475
M_tot, μB per formula unit: 0.000
Crystal system: orthorhombic
Theoretical density, g cm⁻³: 8.32
Space-group type: No. 63

Cell: 3.5384 6.3685 12.2938 Å, 90.00 90.00 106.13°
Last column: nearest neighbours and their distance in Å.
Fractional positions:
N 0.4224 0.8447 0.7500  2 Os 1.99
N 0.2733 0.5466 0.1369  1 Os 2.03
N 0.5776 0.1553 0.2500  2 Os 1.99
N 0.7267 0.4534 0.8631  1 Os 2.03
N 0.0000 0.0000 0.5000  4 Pr 2.45
N 0.0000 0.0000 0.0000  4 Pr 2.45
N 0.2733 0.5466 0.3631  1 Os 2.03
N 0.7267 0.4534 0.6369  1 Os 2.03
Os 0.1520 0.3040 0.2500  4 N 1.99-2.03
Os 0.8480 0.6960 0.7500  4 N 1.99-2.03
La 0.8813 0.7627 0.2500  4 N 2.61
La 0.1187 0.2373 0.7500  4 N 2.61
Pr 0.3681 0.7361 0.5413  6 N 2.45-2.74
Pr 0.6319 0.2639 0.4587  6 N 2.45-2.74
Pr 0.6319 0.2639 0.0413  6 N 2.45-2.74
Pr 0.3681 0.7361 0.9587  6 N 2.45-2.74



Entry 4:
The following is a DFT calculation (GGA-PBE) of a relaxed La2OsPtN crystal.

Summary:
Total energy, eV/cell: -39.635
M_tot, μB per formula unit: 0.000
Crystal system: tetragonal
Theoretical density, g cm⁻³: 10.64
Space-group type: No. 123

Cell: 5.2683 5.2683 3.8065 Å, 90.00 90.00 90.00°
Last column: nearest neighbours and their distance in Å.
Fractional positions:
Pt 0.5000 0.5000 0.5000  8 La 3.25
La 0.5000 0.0000 0.0000  2 N 2.63
La 0.0000 0.5000 0.0000  2 N 2.63
N 0.0000 0.0000 0.0000  2 Os 1.90
Os 0.0000 0.0000 0.5000  2 N 1.90